Entry 1:
CaPmPrEr (GGA-PBE, relaxed); energy above the lowest structure with this stoichiometry = 0.283 eV per formula unit; calculated density = 5827 kg/m3
1.0
0.000 4.127 4.127
4.127 0.000 4.127
4.127 4.127 0.000
Ca Pm Pr Er
1 1 1 1
Direct
0.000 0.000 0.000
0.750 0.750 0.750
0.250 0.250 0.250
0.500 0.500 0.500

Entry 2:
Tm3AgPd5 (GGA-PBE, relaxed); calculated density = 11097 kg/m3; energy = -99.3 eV per cell
1.0
8.348 0.000 0.000
-4.174 7.229 0.000
0.000 0.000 5.687
Tm Ag Pd
6 2 10
Direct
0.000 0.357 0.250
0.000 0.643 0.750
0.357 0.000 0.250
0.357 0.357 0.750
0.643 0.000 0.750
0.643 0.643 0.250
0.000 0.000 0.000
0.000 0.000 0.500
0.000 0.313 0.750
0.000 0.687 0.250
0.313 0.000 0.750
0.313 0.313 0.250
0.333 0.667 0.000
0.333 0.667 0.500
0.667 0.333 0.000
0.667 0.333 0.500
0.687 0.000 0.250
0.687 0.687 0.750

Entry 3:
Al4CoIr5 (GGA-PBE, relaxed); calculated density = 13744 kg/m3; energy = -73.5 eV per cell
1.0
2.991 0.000 0.000
0.000 2.991 0.000
0.000 0.000 15.232
Al Co Ir
4 1 5
Direct
0.000 0.000 0.100
0.000 0.000 0.302
0.000 0.000 0.698
0.000 0.000 0.900
0.000 0.000 0.500
0.500 0.500 0.000
0.500 0.500 0.198
0.500 0.500 0.397
0.500 0.500 0.603
0.500 0.500 0.802

Entry 4:
CsPdBr3 (GGA-PBE, relaxed); calculated density = 3861 kg/m3; formation energy (no corrections) = -4.5 eV/f.u.
1.0
6.952 -5.173 0.000
6.952 5.173 0.000
-0.161 0.000 5.729
Cs Pd Br
2 2 6
Direct
0.000 0.000 0.000
0.668 0.668 0.611
0.167 0.472 0.153
0.472 0.167 0.153
0.087 0.689 0.452
0.262 0.262 0.847
0.449 0.891 0.111
0.457 0.457 0.190
0.689 0.087 0.452
0.891 0.449 0.111

Entry 5:
Co7Ni3 (GGA-PBE, relaxed); energy above the lowest structure with this stoichiometry = 6.148 eV per formula unit; calculated density = 7397 kg/m3
1.0
2.124 -3.983 0.000
2.124 3.983 0.000
0.000 0.000 7.810
Co Ni
7 3
Direct
0.000 0.000 0.000
0.000 0.500 0.500
0.159 0.841 0.248
0.159 0.841 0.752
0.500 0.000 0.500
0.841 0.159 0.248
0.841 0.159 0.752
0.342 0.658 0.000
0.500 0.500 0.500
0.658 0.342 0.000

Question: Number 5 is which compound?
Answer: Co7Ni3

Question: The lowest calculated density belongs to which entry?
Answer: CsPdBr3

Question: Among the records above, which one has the highest calculated density?
Answer: Al4CoIr5